Here is crystalline BiS2NF at its relaxed geometry from Alexandria. Energies are from PBE.

The space group is P4/mmm (No. 123) and the conventional cell measures 4.4868, 4.4868 and 4.1835 Å, with angles of 90.00, 90.00 and 90.00 degrees. The asymmetric unit holds Bi at (0.0000, 0.0000, 0.0000), S at (0.0000, 0.5000, 0.5000), N at (0.5000, 0.5000, 0.0000) and F at (0.5000, 0.5000, 0.5000).

Its total magnetization is 0.2754 μB per atom. As for the electronic total energy: -3.338 eV per atom. For the energy relative to the elements, uncorrected, the calculation gives 108.86 kJ per mole of atoms. Its polymorph energy (0 for the lowest one) is 0.0 meV per atom.

=====

Here is crystalline Tb6Er2Mg at its relaxed geometry from Alexandria. Energies are from PBE.

The space group is P4_2/mnm (No. 136) and the conventional cell measures 10.5021, 10.5021 and 5.0219 Å, with angles of 90.00, 90.00 and 90.00 degrees. The asymmetric unit holds Tb at (0.0006, 0.3336, 0.0000), Tb at (0.1651, 0.8349, 0.5000), Er at (0.1676, 0.1676, 0.5000) and Mg at (0.0000, 0.0000, 0.0000).

Its total magnetization is 0.0000 μB per atom. As for the electronic total energy: -4.255 eV per atom. Its polymorph energy (0 for the lowest one) is 0.0 meV per atom.